VASP calculation (GGA-PBE) on a geometry-optimized AcNdDyTe3 structure.

a b c (Å): 8.7650 4.5996 10.7543
angles (deg): 90.00 110.40 90.00
Space group P2_1/m (No. 11)
One atom of each set of equivalent atoms:
Ac1 0.1842 0.2500 0.2321 x2
Nd1 0.3586 0.7500 0.8825 x2
Dy1 0.1405 0.2500 0.6199 x2
Te1 0.1085 0.2500 0.8976 x2
Te2 0.2395 0.7500 0.4797 x2
Te3 0.4592 0.7500 0.2078 x2

Properties
Energy relative to the elements, uncorrected, meV per atom: -1292
Magnetic moment, μB/cell: 0.00
E, eV/f.u.: -30.66



VASP calculation (GGA-PBE) on a geometry-optimized Ac3Nd2DyTe6 structure.

a b c (Å): 20.0968 4.5457 9.2786
angles (deg): 90.00 104.41 90.00
Space group C2/m (No. 12)
One atom of each set of equivalent atoms:
Ac1 0.0000 0.0000 0.0000 x2
Ac2 0.1700 0.5000 0.3353 x4
Nd1 0.1682 0.5000 0.8357 x4
Dy1 0.0000 0.0000 0.5000 x2
Te1 0.0021 0.5000 0.7330 x4
Te2 0.1587 0.0000 0.5898 x4
Te3 0.1692 0.0000 0.0755 x4

Properties
Energy relative to the elements, uncorrected, meV per atom: -1429
Magnetic moment, μB/cell: 0.00
E, eV/f.u.: -62.46



VASP calculation (GGA-PBE) on a geometry-optimized Ac3Nd3DyTe8 structure.

a b c (Å): 9.1051 9.1051 22.8457
angles (deg): 90.00 90.00 120.00
Space group R-3m (No. 166, hexagonal axes)
One atom of each set of equivalent atoms:
Ac1 0.0000 0.5000 0.0000 x9
Nd1 0.0000 0.5000 0.5000 x9
Dy1 0.0000 0.0000 0.5000 x3
Te1 0.0000 0.0000 0.2452 x6
Te2 0.0017 0.5008 0.2450 x18

Properties
Energy relative to the elements, uncorrected, meV per atom: -1472
Magnetic moment, μB/cell: 0.00
E, eV/f.u.: -78.44



VASP calculation (GGA-PBE) on a geometry-optimized Ac2NdDyTe6 structure.

a b c (Å): 8.1567 8.1567 21.4086
angles (deg): 90.00 90.00 120.00
Space group R3 (No. 146, hexagonal axes)
One atom of each set of equivalent atoms:
Ac1 0.0000 0.0000 0.0000 x3
Ac2 0.0000 0.0000 0.4991 x3
Nd1 0.0000 0.0000 0.2986 x3
Dy1 0.0000 0.0000 0.7998 x3
Te1 0.0107 0.3818 0.0590 x9
Te2 0.0216 0.6354 0.5572 x9

Properties
Energy relative to the elements, uncorrected, meV per atom: -1448
Magnetic moment, μB/cell: 0.00
E, eV/f.u.: -50.91